[1]
First-principles (PBE) data for a geometry-optimized LiTlCuBr3 structure, as listed in the Alexandria database.

Values from the calculation:
**Total moment**: 0.0 μB per cell
**Formation energy (no corrections)**: -0.87 eV/atom
**E**: -37.231 eV for the cell shown
**Calculated density**: 5.11 g/cm3

a = 8.9551 Å, b = 4.0660 Å, c = 9.5560 Å
α = 90.00°, β = 106.07°, γ = 90.00°
Last column: nearest neighbours and their distance in Å.
Space group P2_1/m (No. 11)
Asymmetric unit:
1 Li 0.1481 0.2500 0.1258 [2 per cell]  5 Br 2.62-2.85
2 Tl 0.3037 0.7500 0.7815 [2 per cell]  7 Br 3.27-3.60
3 Cu 0.4339 0.7500 0.4200 [2 per cell]  4 Br 2.47-2.55, 2 Cu 2.62
4 Br 0.0422 0.2500 0.8409 [2 per cell]  3 Li 2.62-2.73
5 Br 0.2823 0.2500 0.4657 [2 per cell]  3 Cu 2.47-2.55
6 Br 0.3760 0.7500 0.1476 [2 per cell]  1 Cu 2.51

---

[2]
First-principles (PBE) data for a geometry-optimized Pm3YPu3Se8 structure, as listed in the Alexandria database.

Values from the calculation:
**Total moment**: 51.6 μB per cell
**Formation energy (no corrections)**: -1.75 eV/atom
**E**: -353.453 eV for the cell shown
**Calculated density**: 7.70 g/cm3

a = 8.3280 Å, b = 8.3280 Å, c = 20.3214 Å
α = 90.00°, β = 90.00°, γ = 120.00°
Last column: nearest neighbours and their distance in Å.
Space group R-3m (No. 166, hexagonal axes)
Asymmetric unit:
1 Pm 0.0000 0.5000 0.0000 [9 per cell]  6 Se 2.95-2.96
2 Y 0.0000 0.0000 0.0000 [3 per cell]  6 Se 2.92
3 Pu 0.0000 0.5000 0.5000 [9 per cell]  6 Se 2.92-2.93
4 Se 0.0000 0.0000 0.2481 [6 per cell]  3 Pu 2.92, 3 Pm 2.96
5 Se 0.0042 0.5021 0.7501 [18 per cell]  1 Y 2.92, 2 Pu 2.93, 2 Pm 2.95

---

[3]
First-principles (PBE) data for a geometry-optimized Na2In5Au4 structure, as listed in the Alexandria database.

Values from the calculation:
**Total moment**: 0.0 μB per cell
**E**: -63.438 eV for the cell shown
**Calculated density**: 9.06 g/cm3
**DFT formation energy**: -207 meV/atom

a = 13.0155 Å, b = 6.0702 Å, c = 9.1113 Å
α = 90.00°, β = 134.23°, γ = 90.00°
Last column: nearest neighbours and their distance in Å.
Space group C2/m (No. 12)
Asymmetric unit:
1 Na 0.2063 0.0000 0.2073 [4 per cell]  2 Au 3.01
2 In 0.0000 0.2522 0.3281 [8 per cell]  4 Au 2.85-3.06, 3 In 3.01-3.13
3 In 0.0000 0.5000 0.0000 [2 per cell]  4 Au 2.76
4 Au 0.2427 0.5000 0.0679 [4 per cell]  5 In 2.76-3.06, 1 Na 3.01
5 Au 0.2428 0.5000 0.4155 [4 per cell]  5 In 2.76-3.06, 1 Na 3.01

---

[4]
First-principles (PBE) data for a geometry-optimized Yb2Ni21B6 structure, as listed in the Alexandria database.

Values from the calculation:
**Total moment**: 8.3 μB per cell
**E**: -689.735 eV for the cell shown
**Calculated density**: 8.96 g/cm3
**DFT formation energy**: -273 meV/atom

a = 10.6790 Å, b = 10.6790 Å, c = 10.6790 Å
α = 90.00°, β = 90.00°, γ = 90.00°
Last column: nearest neighbours and their distance in Å.
Space group Fm-3m (No. 225)
Asymmetric unit:
1 Yb 0.2500 0.2500 0.2500 [8 per cell]  4 Ni 2.55
2 Ni 0.0000 0.0000 0.0000 [4 per cell]  12 Ni 2.54
3 Ni 0.0000 0.1680 0.1680 [48 per cell]  2 B 2.11
4 Ni 0.1119 0.1119 0.3881 [32 per cell]  3 B 2.10
5 B 0.0000 0.0000 0.2713 [24 per cell]  8 Ni 2.10-2.11

---

[5]
First-principles (PBE) data for a geometry-optimized Pm8P3PdSe4 structure, as listed in the Alexandria database.

Values from the calculation:
**Total moment**: 0.0 μB per cell
**Formation energy (no corrections)**: -1.64 eV/atom
**E**: -298.686 eV for the cell shown
**Calculated density**: 6.74 g/cm3

a = 8.3361 Å, b = 8.3361 Å, c = 20.5763 Å
α = 90.00°, β = 90.00°, γ = 120.00°
Last column: nearest neighbours and their distance in Å.
Space group R-3m (No. 166, hexagonal axes)
Asymmetric unit:
1 Pm 0.0000 0.0000 0.2434 [6 per cell]  3 P 2.88, 3 Se 3.04
2 Pm 0.0065 0.5033 0.7544 [18 per cell]  2 P 2.88, 1 Pd 2.94, 3 Se 2.97-3.03
3 P 0.0000 0.5000 0.5000 [9 per cell]  6 Pm 2.88
4 Pd 0.0000 0.0000 0.5000 [3 per cell]  6 Pm 2.94
5 Se 0.0000 0.0000 0.0000 [3 per cell]  6 Pm 2.97
6 Se 0.0000 0.5000 0.0000 [9 per cell]  6 Pm 3.03-3.04

---

[6]
First-principles (PBE) data for a geometry-optimized Tm2HgSe structure, as listed in the Alexandria database.

Values from the calculation:
**Total moment**: 0.0 μB per cell
**Formation energy (no corrections)**: -0.99 eV/atom
**Distance to the lowest polymorph of the same formula**: 63.3 meV/atom
**E**: -50.043 eV for the cell shown
**Calculated density**: 10.16 g/cm3

a = 3.8366 Å, b = 3.8366 Å, c = 23.7449 Å
α = 90.00°, β = 90.00°, γ = 120.00°
Last column: nearest neighbours and their distance in Å.
Space group R3m (No. 160, hexagonal axes)
Asymmetric unit:
1 Tm 0.0000 0.0000 0.0000 [3 per cell]  3 Se 2.84, 3 Hg 3.08
2 Tm 0.0000 0.0000 0.1809 [3 per cell]  3 Se 2.88, 3 Hg 3.09
3 Hg 0.0000 0.0000 0.4237 [3 per cell]  6 Tm 3.08-3.09
4 Se 0.0000 0.0000 0.5920 [3 per cell]  6 Tm 2.84-2.88

---

[7]
First-principles (PBE) data for a geometry-optimized RbPd4I12 structure, as listed in the Alexandria database.

Values from the calculation:
**Total moment**: 0.0 μB per cell
**Formation energy (no corrections)**: -0.24 eV/atom
**E**: -88.965 eV for the cell shown
**Calculated density**: 5.61 g/cm3

a = 10.6375 Å, b = 10.6375 Å, c = 10.6375 Å
α = 90.00°, β = 90.00°, γ = 90.00°
Last column: nearest neighbours and their distance in Å.
Space group Im-3 (No. 204)
Asymmetric unit:
1 Rb 0.0000 0.0000 0.0000 [2 per cell]  12 I 3.83
2 Pd 0.2500 0.2500 0.2500 [8 per cell]  6 I 2.79
3 I 0.0000 0.3044 0.1924 [24 per cell]  2 Pd 2.79

---

[8]
First-principles (PBE) data for a geometry-optimized Y2CrFe structure, as listed in the Alexandria database.

Values from the calculation:
**Total moment**: 25.7 μB per cell
**Distance to the lowest polymorph of the same formula**: 491.6 meV/atom
**E**: -115.015 eV for the cell shown
**Calculated density**: 5.60 g/cm3
**DFT formation energy**: 565 meV/atom

a = 6.9711 Å, b = 6.9711 Å, c = 6.9711 Å
α = 90.00°, β = 90.00°, γ = 90.00°
Last column: nearest neighbours and their distance in Å.
Space group F-43m (No. 216)
Asymmetric unit:
1 Y 0.0000 0.0000 0.0000 [4 per cell]  4 Fe 3.02, 4 Y 3.02
2 Y 0.2500 0.2500 0.2500 [4 per cell]  4 Cr 3.02, 4 Y 3.02
3 Cr 0.0000 0.0000 0.5000 [4 per cell]  4 Y 3.02, 4 Fe 3.02
4 Fe 0.2500 0.2500 0.7500 [4 per cell]  4 Cr 3.02, 4 Y 3.02

---

[9]
First-principles (PBE) data for a geometry-optimized MgRe2Ag structure, as listed in the Alexandria database.

Values from the calculation:
**Total moment**: 0.0 μB per cell
**E**: -97.057 eV for the cell shown
**Calculated density**: 11.46 g/cm3
**DFT formation energy**: 1269 meV/atom

a = 7.6865 Å, b = 7.6865 Å, c = 4.9520 Å
α = 90.00°, β = 90.00°, γ = 90.00°
Last column: nearest neighbours and their distance in Å.
Space group I-42d (No. 122)
Asymmetric unit:
1 Mg 0.0000 0.0000 0.0000 [4 per cell]  2 Ag 2.48
2 Re 0.2186 0.7500 0.6250 [8 per cell]  2 Re 2.52, 2 Ag 2.63
3 Ag 0.0000 0.0000 0.5000 [4 per cell]  2 Mg 2.48, 4 Re 2.63

---

[10]
First-principles (PBE) data for a geometry-optimized TbRhF structure, as listed in the Alexandria database.

Values from the calculation:
**Total moment**: 0.0 μB per cell
**Formation energy (no corrections)**: -1.85 eV/atom
**E**: -77.565 eV for the cell shown
**Calculated density**: 9.03 g/cm3

a = 5.2742 Å, b = 4.9249 Å, c = 8.2309 Å
α = 90.00°, β = 104.83°, γ = 90.00°
Last column: nearest neighbours and their distance in Å.
Space group C2/m (No. 12)
Asymmetric unit:
1 Tb 0.2237 0.0000 0.2262 [4 per cell]  2 F 2.32-2.37
2 Rh 0.2447 0.5000 0.4330 [4 per cell]  3 Rh 2.64-2.69, 2 Tb 2.77-2.84
3 F 0.2079 0.0000 0.9358 [4 per cell]  2 Tb 2.32-2.37

---

[11]
First-principles (PBE) data for a geometry-optimized CeHRh structure, as listed in the Alexandria database.

Values from the calculation:
**Total moment**: 0.0 μB per cell
**Distance to the lowest polymorph of the same formula**: 208.2 meV/atom
**E**: -17.859 eV for the cell shown
**Calculated density**: 8.63 g/cm3

a = 3.8995 Å, b = 3.8995 Å, c = 3.5644 Å
α = 90.00°, β = 90.00°, γ = 120.00°
Last column: nearest neighbours and their distance in Å.
Space group P-6m2 (No. 187)
Asymmetric unit:
1 Ce 0.0000 0.0000 0.0000 [1 per cell]  6 H 2.87, 6 Rh 2.87
2 H 0.3333 0.6667 0.5000 [1 per cell]  3 Rh 2.25
3 Rh 0.6667 0.3333 0.5000 [1 per cell]  3 H 2.25

---

[12]
First-principles (PBE) data for a geometry-optimized LaBe2BIr structure, as listed in the Alexandria database.

Values from the calculation:
**Total moment**: 0.0 μB per cell
**E**: -29.528 eV for the cell shown
**Calculated density**: 7.67 g/cm3
**DFT formation energy**: -322 meV/atom

a = 4.3375 Å, b = 4.3375 Å, c = 4.1445 Å
α = 90.00°, β = 90.00°, γ = 90.00°
Last column: nearest neighbours and their distance in Å.
Space group P4/mmm (No. 123)
Asymmetric unit:
1 La 0.0000 0.0000 0.0000 [1 per cell]  8 Be 3.00, 4 B 3.07
2 Be 0.0000 0.5000 0.5000 [2 per cell]  2 Ir 2.17
3 B 0.5000 0.5000 0.0000 [1 per cell]  2 Ir 2.07
4 Ir 0.5000 0.5000 0.5000 [1 per cell]  2 B 2.07, 4 Be 2.17

---

Among the records above, which one has the highest calculated density?
MgRe2Ag

---

The lowest calculated density belongs to which entry?
LiTlCuBr3